Version a
Here is a relaxed structure of PC2 from Alexandria via LeMat-Bulk. Energies are from GGA-PBE.

a = 4.595 Å, b = 4.595 Å, c = 4.595 Å
α = 90.00°, β = 90.00°, γ = 90.00°
Fractional coordinates of all 12 atoms:
P: 0.000 0.000 0.000
P: 0.000 0.500 0.500
P: 0.500 0.000 0.500
P: 0.500 0.500 0.000
C: 0.089 0.589 0.911
C: 0.089 0.911 0.411
C: 0.411 0.089 0.911
C: 0.411 0.411 0.411
C: 0.589 0.589 0.589
C: 0.589 0.911 0.089
C: 0.911 0.089 0.589
C: 0.911 0.411 0.089

- total magnetic moment (μB/f.u.) = 0.00

---

Version b
Here is a relaxed structure of PC2 from Alexandria via LeMat-Bulk. Energies are from GGA-PBE.

a = 5.210 Å, b = 5.210 Å, c = 5.210 Å
α = 31.65°, β = 31.65°, γ = 31.65°
Fractional coordinates of all 3 atoms:
P: 0.000 0.000 0.000
C: 0.269 0.269 0.269
C: 0.398 0.398 0.398

- total magnetic moment (μB/f.u.) = 0.00

---

Version c
Here is a relaxed structure of PC2 from Alexandria via LeMat-Bulk. Energies are from GGA-PBE.

a = 2.825 Å, b = 2.825 Å, c = 7.426 Å
α = 90.00°, β = 90.00°, γ = 120.00°
Fractional coordinates of all 6 atoms:
P: 0.333 0.667 0.250
P: 0.667 0.333 0.750
C: 0.000 0.000 0.093
C: 0.000 0.000 0.407
C: 0.000 0.000 0.593
C: 0.000 0.000 0.907

- total magnetic moment (μB/f.u.) = 0.00

---

Version d
Here is a relaxed structure of PC2 from Alexandria via LeMat-Bulk. Energies are from GGA-PBE.

a = 3.774 Å, b = 3.774 Å, c = 2.861 Å
α = 90.00°, β = 90.00°, γ = 141.73°
Fractional coordinates of all 3 atoms:
P: 0.000 0.000 0.000
C: 0.194 0.806 0.500
C: 0.806 0.194 0.500

- total magnetic moment (μB/f.u.) = 0.00

---

Most stable to least stable: version d, version a, version c, version b

---

Version a
Here is a relaxed structure of PC2 from Alexandria via LeMat-Bulk. Energies are from GGA-PBE.

a = 4.157 Å, b = 4.157 Å, c = 8.541 Å
α = 90.03°, β = 90.03°, γ = 36.35°
Fractional coordinates of all 6 atoms:
P: 0.000 0.000 0.000
P: 0.039 0.039 0.531
C: 0.200 0.200 0.919
C: 0.247 0.247 0.447
C: 0.367 0.367 0.929
C: 0.831 0.831 0.447

- total magnetic moment (μB/f.u.) = 0.00

---

Version b
Here is a relaxed structure of PC2 from Alexandria via LeMat-Bulk. Energies are from GGA-PBE.

a = 4.394 Å, b = 4.394 Å, c = 4.394 Å
α = 129.47°, β = 129.47°, γ = 74.25°
Fractional coordinates of all 6 atoms:
P: 0.375 0.625 0.750
P: 0.625 0.375 0.250
C: 0.020 0.770 0.250
C: 0.230 0.980 0.250
C: 0.770 0.020 0.750
C: 0.980 0.230 0.750

- total magnetic moment (μB/f.u.) = 0.00

---

Most stable to least stable: version a, version b